(w)
First-principles (PBE-GGA) data for a relaxed structure of CsTlSeBr2, as listed in Alexandria.

Magnetization in Bohr magnetons per cell: 1.039
Fermi-level density of states in states/eV per atom: 1.530

Unit cell a=6.6675 b=6.6675 c=5.9233 alpha=90.00 beta=90.00 gamma=90.00
Positions (direct):
Cs 0.0000 0.0000 0.0000
Tl 0.5000 0.5000 0.5000
Se 0.0000 0.0000 0.5000
Br 0.0000 0.5000 0.0000
Br 0.5000 0.0000 0.0000



(x)
First-principles (PBE-GGA) data for a relaxed structure of CsTlSeBr2, as listed in Alexandria.

Magnetization in Bohr magnetons per cell: 0.524
Fermi-level density of states in states/eV per atom: 1.050

Unit cell a=5.9520 b=5.9520 c=5.4234 alpha=90.00 beta=90.00 gamma=90.00
Positions (direct):
Cs 0.0000 0.0000 0.0000
Tl 0.5000 0.5000 0.5000
Se 0.5000 0.5000 0.0000
Br 0.0000 0.5000 0.5000
Br 0.5000 0.0000 0.5000



The structures above, arranged from the most stable to the least stable: (x), (w).